A | Crystalline Al2CdPb at its relaxed geometry, computed with GGA-PBE.

Calculated volume: 23.30 A^3/atom
SG: P4/mmm, No. 123

Lattice parameters (Å, degrees): 5.245 5.245 3.389 90.00 90.00 90.00
Fractional positions:
Cd 0.500 0.000 0.500
Al 0.500 0.500 0.000
Pb 0.000 0.500 0.500
Al 0.000 0.000 0.000

---

B | Crystalline Al2CdPb at its relaxed geometry, computed with GGA-PBE.

Calculated volume: 22.97 A^3/atom
SG: I-4m2, No. 119

Lattice parameters (Å, degrees): 5.346 5.346 5.346 128.12 128.12 76.42
Fractional positions:
Al 0.250 0.750 0.500
Cd 0.500 0.500 0.000
Pb 0.750 0.250 0.500
Al 0.000 0.000 0.000

---

C | Crystalline Al2CdPb at its relaxed geometry, computed with GGA-PBE.

Calculated volume: 23.37 A^3/atom
SG: Cmmm, No. 65

Lattice parameters (Å, degrees): 3.140 3.140 10.292 90.00 90.00 112.93
Fractional positions:
Cd 0.500 0.500 0.250
Pb 0.500 0.500 0.750
Al 0.000 0.000 0.483
Al 0.000 0.000 0.017

---

D | Crystalline Al2CdPb at its relaxed geometry, computed with GGA-PBE.

Calculated volume: 23.14 A^3/atom
SG: C2/m, No. 12

Lattice parameters (Å, degrees): 5.053 5.053 5.893 79.36 79.36 38.87
Fractional positions:
Al 0.495 0.495 0.545
Al 0.005 0.005 0.955
Cd 0.750 0.750 0.750
Pb 0.250 0.250 0.250

---

Stability, highest: D

---

A | Crystalline Al2CdPb at its relaxed geometry, computed with GGA-PBE.

Calculated volume: 23.39 A^3/atom
SG: Cm, No. 8

Lattice parameters (Å, degrees): 4.699 4.699 6.611 81.34 81.34 40.51
Fractional positions:
Cd 0.491 0.491 0.545
Al 0.747 0.747 0.774
Pb 0.253 0.253 0.233
Al 0.009 0.009 0.948

---

B | Crystalline Al2CdPb at its relaxed geometry, computed with GGA-PBE.

Calculated volume: 22.97 A^3/atom
SG: I4/mmm, No. 139

Lattice parameters (Å, degrees): 5.378 5.378 5.378 128.83 128.83 75.28
Fractional positions:
Al 0.000 0.000 0.000
Pb 0.750 0.250 0.500
Al 0.500 0.500 0.000
Cd 0.250 0.750 0.500

---

Stability, highest: A

---

A | Crystalline AlCdPb3 at its relaxed geometry, computed with GGA-PBE.

Calculated volume: 36.29 A^3/atom
SG: Pm-3m, No. 221

Lattice parameters (Å, degrees): 5.661 5.661 5.661 90.00 90.00 90.00
Fractional positions:
Pb 0.000 0.500 0.000
Al 0.500 0.500 0.500
Pb 0.500 0.000 0.000
Cd 0.000 0.000 0.000
Pb 0.000 0.000 0.500

---

B | Crystalline AlCdPb3 at its relaxed geometry, computed with GGA-PBE.

Calculated volume: 32.89 A^3/atom
SG: Pm-3m, No. 221

Lattice parameters (Å, degrees): 5.479 5.479 5.479 90.00 90.00 90.00
Fractional positions:
Pb 0.000 0.500 0.000
Pb 0.500 0.000 0.000
Cd 0.500 0.500 0.500
Al 0.000 0.000 0.000
Pb 0.000 0.000 0.500

---

Stability, highest: B

---

A | Crystalline AlCd2Pb2 at its relaxed geometry, computed with GGA-PBE.

Calculated volume: 28.25 A^3/atom
SG: P4/mbm, No. 127

Lattice parameters (Å, degrees): 7.850 7.850 4.585 90.00 90.00 90.00
Fractional positions:
Cd 0.852 0.352 0.500
Cd 0.352 0.148 0.500
Pb 0.843 0.657 0.000
Pb 0.157 0.343 0.000
Al 0.000 0.000 0.000
Cd 0.148 0.648 0.500
Cd 0.648 0.852 0.500
Al 0.500 0.500 0.000
Pb 0.657 0.157 0.000
Pb 0.343 0.843 0.000

---

B | Crystalline AlCd2Pb2 at its relaxed geometry, computed with GGA-PBE.

Calculated volume: 26.75 A^3/atom
SG: P4/mbm, No. 127

Lattice parameters (Å, degrees): 7.347 7.347 4.956 90.00 90.00 90.00
Fractional positions:
Cd 0.640 0.140 0.000
Pb 0.328 0.172 0.500
Al 0.500 0.500 0.000
Cd 0.140 0.360 0.000
Cd 0.360 0.860 0.000
Pb 0.828 0.328 0.500
Pb 0.172 0.672 0.500
Al 0.000 0.000 0.000
Cd 0.860 0.640 0.000
Pb 0.672 0.828 0.500

---

Stability, highest: B

---

A | Crystalline Al2Cd2Pb at its relaxed geometry, computed with GGA-PBE.

Calculated volume: 23.16 A^3/atom
SG: P4/mbm, No. 127

Lattice parameters (Å, degrees): 8.611 8.611 3.123 90.00 90.00 90.00
Fractional positions:
Pb 0.000 0.000 0.000
Al 0.335 0.165 0.500
Al 0.165 0.665 0.500
Cd 0.868 0.632 0.000
Al 0.665 0.835 0.500
Cd 0.132 0.368 0.000
Cd 0.368 0.868 0.000
Pb 0.500 0.500 0.000
Al 0.835 0.335 0.500
Cd 0.632 0.132 0.000

---

B | Crystalline Al2Cd2Pb at its relaxed geometry, computed with GGA-PBE.

Calculated volume: 23.50 A^3/atom
SG: I4/mmm, No. 139

Lattice parameters (Å, degrees): 4.197 4.197 7.303 73.30 73.30 90.00
Fractional positions:
Pb 0.000 0.000 0.000
Cd 0.392 0.392 0.216
Cd 0.608 0.608 0.784
Al 0.750 0.250 0.500
Al 0.250 0.750 0.500

---

Stability, highest: B

---

A | Crystalline Al2Cd2Pb at its relaxed geometry, computed with GGA-PBE.

Calculated volume: 23.71 A^3/atom
SG: I4/mmm, No. 139

Lattice parameters (Å, degrees): 4.377 4.377 6.918 71.56 71.56 90.00
Fractional positions:
Cd 0.250 0.750 0.500
Al 0.397 0.397 0.206
Pb 0.000 0.000 0.000
Cd 0.750 0.250 0.500
Al 0.603 0.603 0.794

---

B | Crystalline Al2Cd2Pb at its relaxed geometry, computed with GGA-PBE.

Calculated volume: 23.09 A^3/atom
SG: P4/mbm, No. 127

Lattice parameters (Å, degrees): 8.233 8.233 3.407 90.00 90.00 90.00
Fractional positions:
Cd 0.680 0.820 0.500
Cd 0.180 0.680 0.500
Al 0.117 0.383 0.000
Al 0.383 0.883 0.000
Pb 0.500 0.500 0.000
Al 0.883 0.617 0.000
Pb 0.000 0.000 0.000
Cd 0.820 0.320 0.500
Cd 0.320 0.180 0.500
Al 0.617 0.117 0.000

---

Stability, highest: A

---

A | Crystalline AlCd3Pb at its relaxed geometry, computed with GGA-PBE.

Calculated volume: 28.77 A^3/atom
SG: Pm-3m, No. 221

Lattice parameters (Å, degrees): 5.240 5.240 5.240 90.00 90.00 90.00
Fractional positions:
Cd 0.000 0.000 0.500
Cd 0.500 0.000 0.000
Al 0.000 0.000 0.000
Pb 0.500 0.500 0.500
Cd 0.000 0.500 0.000

---

B | Crystalline AlCd3Pb at its relaxed geometry, computed with GGA-PBE.

Calculated volume: 37.65 A^3/atom
SG: Pm-3m, No. 221

Lattice parameters (Å, degrees): 5.731 5.731 5.731 90.00 90.00 90.00
Fractional positions:
Cd 0.000 0.000 0.500
Pb 0.000 0.000 0.000
Cd 0.000 0.500 0.000
Cd 0.500 0.000 0.000
Al 0.500 0.500 0.500

---

Stability, highest: A

---

A | Crystalline Al2Cd2Pd at its relaxed geometry, computed with GGA-PBE.

Calculated volume: 19.71 A^3/atom
SG: P4/mbm, No. 127

Lattice parameters (Å, degrees): 7.190 7.190 3.812 90.00 90.00 90.00
Fractional positions:
Cd 0.358 0.858 0.000
Al 0.665 0.835 0.500
Al 0.165 0.665 0.500
Cd 0.142 0.358 0.000
Al 0.335 0.165 0.500
Pd 0.500 0.500 0.000
Cd 0.858 0.642 0.000
Al 0.835 0.335 0.500
Pd 0.000 0.000 0.000
Cd 0.642 0.142 0.000

---

B | Crystalline Al2Cd2Pd at its relaxed geometry, computed with GGA-PBE.

Calculated volume: 19.27 A^3/atom
SG: P4/mbm, No. 127

Lattice parameters (Å, degrees): 6.648 6.648 4.359 90.00 90.00 90.00
Fractional positions:
Pd 0.500 0.500 0.000
Cd 0.667 0.833 0.500
Cd 0.167 0.667 0.500
Cd 0.333 0.167 0.500
Al 0.856 0.644 0.000
Al 0.356 0.856 0.000
Pd 0.000 0.000 0.000
Cd 0.833 0.333 0.500
Al 0.144 0.356 0.000
Al 0.644 0.144 0.000

---

Stability, highest: B

---

A | Crystalline AlCdPd4 at its relaxed geometry, computed with GGA-PBE.

Calculated volume: 18.19 A^3/atom
SG: C2/m, No. 12

Lattice parameters (Å, degrees): 4.177 4.197 7.566 74.23 73.98 60.16
Fractional positions:
Pd 0.886 0.888 0.339
Pd 0.630 0.630 0.111
Al 0.000 0.000 0.000
Pd 0.114 0.112 0.661
Cd 0.500 0.500 0.500
Pd 0.370 0.370 0.889

---

B | Crystalline AlCdPd4 at its relaxed geometry, computed with GGA-PBE.

Calculated volume: 15.92 A^3/atom
SG: Pnma, No. 62

Lattice parameters (Å, degrees): 2.955 7.351 17.591 90.00 90.00 90.00
Fractional positions:
Al 0.250 0.251 0.950
Pd 0.750 0.970 0.933
Pd 0.250 0.148 0.341
Cd 0.250 0.280 0.187
Cd 0.250 0.780 0.313
Al 0.250 0.751 0.550
Pd 0.750 0.852 0.659
Pd 0.250 0.608 0.945
Pd 0.750 0.352 0.841
Cd 0.750 0.220 0.687
Pd 0.250 0.040 0.798
Pd 0.750 0.392 0.055
Al 0.750 0.749 0.050
Pd 0.250 0.030 0.067
Pd 0.750 0.960 0.202
Pd 0.750 0.460 0.298
Pd 0.750 0.470 0.567
Cd 0.750 0.720 0.813
Pd 0.250 0.530 0.433
Pd 0.250 0.540 0.702
Pd 0.250 0.648 0.159
Pd 0.750 0.892 0.445
Pd 0.250 0.108 0.555
Al 0.750 0.249 0.450

---

Stability, highest: B

---

A | Crystalline AlCd2Pd2 at its relaxed geometry, computed with GGA-PBE.

Calculated volume: 18.43 A^3/atom
SG: P4/mbm, No. 127

Lattice parameters (Å, degrees): 7.629 7.629 3.166 90.00 90.00 90.00
Fractional positions:
Cd 0.366 0.866 0.000
Cd 0.866 0.634 0.000
Pd 0.164 0.664 0.500
Al 0.500 0.500 0.000
Al 0.000 0.000 0.000
Pd 0.336 0.164 0.500
Cd 0.134 0.366 0.000
Pd 0.664 0.836 0.500
Cd 0.634 0.134 0.000
Pd 0.836 0.336 0.500

---

B | Crystalline AlCd2Pd2 at its relaxed geometry, computed with GGA-PBE.

Calculated volume: 18.23 A^3/atom
SG: P4/mbm, No. 127

Lattice parameters (Å, degrees): 6.529 6.529 4.276 90.00 90.00 90.00
Fractional positions:
Cd 0.342 0.158 0.500
Al 0.500 0.500 0.000
Al 0.000 0.000 0.000
Cd 0.158 0.658 0.500
Pd 0.650 0.150 0.000
Pd 0.850 0.650 0.000
Pd 0.150 0.350 0.000
Cd 0.842 0.342 0.500
Pd 0.350 0.850 0.000
Cd 0.658 0.842 0.500

---

Stability, highest: B

---

A | Crystalline Pm6AlCd at its relaxed geometry, computed with GGA-PBE.

Calculated volume: 29.50 A^3/atom
SG: P4/mmm, No. 123

Lattice parameters (Å, degrees): 4.905 4.905 9.809 90.00 90.00 90.00
Fractional positions:
Pm 0.000 0.500 0.257
Cd 0.000 0.000 0.000
Al 0.000 0.000 0.500
Pm 0.500 0.000 0.257
Pm 0.000 0.500 0.743
Pm 0.500 0.500 0.500
Pm 0.500 0.000 0.743
Pm 0.500 0.500 0.000

---

B | Crystalline Pm6AlCd at its relaxed geometry, computed with GGA-PBE.

Calculated volume: 33.36 A^3/atom
SG: C2/m, No. 12

Lattice parameters (Å, degrees): 7.044 7.044 6.881 103.87 103.87 118.00
Fractional positions:
Pm 0.762 0.762 0.250
Pm 0.238 0.238 0.750
Pm 0.425 0.017 0.251
Cd 0.500 0.500 0.500
Pm 0.017 0.425 0.251
Pm 0.983 0.575 0.749
Al 0.000 0.000 0.000
Pm 0.575 0.983 0.749

---

Stability, highest: A